# 1
An optimized crystal structure of B2C, computed with PBE-GGA.

- Polymorph energy (0 for the lowest one): 262.2 meV/atom
- Calculated total energy: -7.08 eV per atom
- Energy of formation: 0.4475 eV per atom

Unit cell a=2.597 b=2.677 c=12.662 alpha=90.00 beta=90.00 gamma=90.00
Space group Pmm2 (No. 25)
Symmetry-distinct sites (fractional):
B 0.000 0.000 0.000 x1
B 0.000 0.000 0.319 x1
B 0.000 0.000 0.647 x1
B 0.000 0.500 0.414 x1
B 0.000 0.500 0.764 x1
B 0.500 0.000 0.216 x1
B 0.500 0.000 0.890 x1
B 0.500 0.500 0.520 x1
C 0.000 0.500 0.073 x1
C 0.500 0.000 0.587 x1
C 0.500 0.500 0.140 x1
C 0.500 0.500 0.824 x1



# 2
An optimized crystal structure of Ca2ScPb, computed with PBE-GGA.

- Calculated total energy: -3.60 eV per atom
- Energy of formation: -0.0898 eV per atom

Unit cell a=7.777 b=7.777 c=7.777 alpha=90.00 beta=90.00 gamma=90.00
Space group F-43m (No. 216)
Symmetry-distinct sites (fractional):
Ca 0.000 0.000 0.000 x4
Ca 0.250 0.250 0.250 x4
Sc 0.250 0.250 0.750 x4
Pb 0.000 0.000 0.500 x4



# 3
An optimized crystal structure of Ag2HgOs, computed with PBE-GGA.

- Calculated total energy: -3.52 eV per atom
- Energy of formation: 0.7922 eV per atom

Unit cell a=4.236 b=4.236 c=7.881 alpha=90.00 beta=90.00 gamma=90.00
Space group I-4m2 (No. 119)
Symmetry-distinct sites (fractional):
Ag 0.000 0.000 0.000 x2
Ag 0.000 0.500 0.250 x2
Hg 0.000 0.500 0.750 x2
Os 0.000 0.000 0.500 x2



# 4
An optimized crystal structure of BeSiPd4, computed with PBE-GGA.

- Polymorph energy (0 for the lowest one): 0.0 meV/atom
- ΔE_f (raw): -0.56 eV per atom
- Calculated total energy: -5.54 eV per atom

Unit cell a=6.551 b=3.619 c=13.942 alpha=90.00 beta=90.00 gamma=90.00
Space group Pnma (No. 62)
Symmetry-distinct sites (fractional):
Be 0.248 0.250 0.058 x4
Si 0.238 0.250 0.813 x4
Pd 0.009 0.750 0.429 x4
Pd 0.070 0.750 0.721 x4
Pd 0.125 0.750 0.150 x4
Pd 0.144 0.750 0.941 x4



# 5
An optimized crystal structure of K2In3Ga5, computed with PBE-GGA.

- Calculated total energy: -2.67 eV per atom
- Energy of formation: -0.1181 eV per atom

Unit cell a=4.644 b=4.644 c=11.995 alpha=90.00 beta=90.00 gamma=90.00
Space group P-4m2 (No. 115)
Symmetry-distinct sites (fractional):
K 0.000 0.500 0.231 x2
In 0.000 0.500 0.653 x2
In 0.500 0.500 0.500 x1
Ga 0.000 0.000 0.000 x1
Ga 0.000 0.000 0.500 x1
Ga 0.000 0.500 0.883 x2
Ga 0.500 0.500 0.000 x1



# 6
An optimized crystal structure of CdTc2Se, computed with PBE-GGA.

- Polymorph energy (0 for the lowest one): 69.3 meV/atom
- ΔE_f (raw): 0.17 eV per atom
- Calculated total energy: -6.11 eV per atom

Unit cell a=2.9536 b=2.9536 c=27.9575 alpha=90.00 beta=90.00 gamma=120.00
Space group R3m (No. 160, hexagonal axes)
Symmetry-distinct sites (fractional):
Cd 0.0000 0.0000 0.0000 x3
Tc 0.0000 0.0000 0.2464 x3
Tc 0.0000 0.0000 0.5074 x3
Se 0.0000 0.0000 0.7723 x3



# 7
An optimized crystal structure of Rb4SrU3O12, computed with PBE-GGA.

- ΔE_f (raw): -2.83 eV per atom
- Calculated total energy: -7.77 eV per atom

Unit cell a=8.845 b=8.845 c=8.845 alpha=90.00 beta=90.00 gamma=90.00
Space group Im-3m (No. 229)
Symmetry-distinct sites (fractional):
Rb 0.250 0.250 0.250 x8
Sr 0.000 0.000 0.000 x2
U 0.000 0.000 0.500 x6
O 0.000 0.000 0.280 x12
O 0.000 0.250 0.500 x12



# 8
An optimized crystal structure of SrAsSe4, computed with PBE-GGA.

- ΔE_f (raw): -0.01 eV per atom
- Calculated total energy: -3.39 eV per atom

Unit cell a=8.256 b=8.256 c=8.256 alpha=90.00 beta=90.00 gamma=90.00
Space group F-43m (No. 216)
Symmetry-distinct sites (fractional):
Sr 0.000 0.000 0.000 x4
As 0.250 0.250 0.750 x4
Se 0.124 0.124 0.376 x16